[1]
5
Lattice="-3.8595 -0.9388 2.4502 -0.9501 -3.5623 -2.8615 2.4459 -2.8652 2.7548" Properties=species:S:1:pos:R:3 comment="ZnCu3Tc, optimized geometry, DFT PBE-GGA" sg="No. 221" pbc="T T T"
Zn -1.1819 -3.6832 1.1718
Cu -0.4751 -1.7812 -1.4307
Tc 0.0000 0.0000 0.0000
Cu -1.9298 -0.4694 1.2251
Cu 1.2229 -1.4326 1.3774

---

[2]
16
Lattice="6.3834 0.0000 0.0000 0.0000 7.4371 0.0000 0.0000 0.0000 9.4624" Properties=species:S:1:pos:R:3 comment="Pm2HoTc, optimized geometry, DFT PBE-GGA" sg="No. 62" pbc="T T T"
Pm 1.0582 5.0381 0.6085
Tc 6.1623 4.5371 7.0968
Pm 4.2499 6.1175 8.8539
Tc 0.2211 2.9000 2.3656
Pm 5.3253 2.3990 8.8539
Tc 3.4129 0.8186 7.0968
Ho 4.0601 4.0618 2.3656
Ho 5.5151 0.3432 2.3656
Pm 4.2499 6.1175 5.3397
Pm 2.1335 1.3196 0.6085
Tc 2.9706 6.6185 2.3656
Ho 0.8684 7.0939 7.0968
Pm 2.1335 1.3196 4.1227
Pm 5.3253 2.3990 5.3397
Pm 1.0582 5.0381 4.1227
Ho 2.3233 3.3753 7.0968

---

[3]
4
Lattice="-4.8708 -0.7205 -0.9766 -2.6583 -3.2477 2.7537 -3.4781 1.6841 3.2037" Properties=species:S:1:pos:R:3 comment="LiYHoMo, optimized geometry, DFT PBE-GGA" sg="No. 216" pbc="T T T"
Mo -5.5036 -1.1421 2.4904
Ho -8.2554 -1.7131 3.7356
Y -2.7518 -0.5710 1.2452
Li 0.0000 0.0000 0.0000

---

[4]
4
Lattice="4.9110 0.0000 0.0000 2.4555 4.2530 0.0000 2.4555 1.4177 4.0098" Properties=species:S:1:pos:R:3 comment="TbHg2Rh, optimized geometry, DFT PBE-GGA" sg="No. 225" pbc="T T T"
Tb 4.9110 2.8354 2.0049
Rh 0.0000 0.0000 0.0000
Hg 7.3665 4.2530 3.0073
Hg 2.4555 1.4177 1.0024

---

[5]
8
Lattice="4.8938 0.0000 0.0000 0.0000 4.8938 0.0000 2.4469 2.4469 8.3974" Properties=species:S:1:pos:R:3 comment="LaVMo2, optimized geometry, DFT PBE-GGA" sg="No. 141" pbc="T T T"
Mo 2.4470 3.6703 2.0993
Mo 3.6703 4.8939 6.2980
La 0.0000 0.0000 0.0000
Mo 6.1172 4.8936 6.2980
V 2.4469 4.8938 4.1987
V 2.4469 2.4469 0.0000
Mo 2.4468 1.2234 2.0993
La 4.8938 2.4469 4.1987

---

[6]
4
Lattice="5.0465 0.0000 0.0000 2.5233 4.3704 0.0000 2.5233 1.4568 4.1205" Properties=species:S:1:pos:R:3 comment="YCdPtPb, optimized geometry, DFT PBE-GGA" sg="No. 216" pbc="T T T"
Pb 0.0000 0.0000 0.0000
Pt 5.0465 2.9136 2.0602
Cd 7.5698 4.3704 3.0904
Y 2.5233 1.4568 1.0301

---

Which total moment belongs to each record? In order, 2.0, 0.0, 1.1, 0.0, 0.0, 0.0 μB/f.u..
Which ΔH_f (0 K) belongs to each record? In order, 1.41, -0.03, 0.27, -0.29, 0.99, -0.44 eV per atom.